[1]
Mn8OsW3 | GGA-PBE | optimized geometry

abc: 4.6854 4.6854 7.7380
angles: 90.00 90.00 120.00
Last column: nearest neighbours and their distance in Å.
Space group P3m1 (No. 156)
Inequivalent atoms, fractional coordinates:
Mn 0.0000 0.0000 0.0000 x1  6 Mn 2.38
Mn 0.0000 0.0000 0.4994 x1  6 Mn 2.39-2.40
Mn 0.1726 0.3453 0.2490 x3  6 Mn 2.26-2.43
Mn 0.3456 0.1728 0.7509 x3  6 Mn 2.26-2.43
Os 0.6667 0.3333 0.0693 x1  12 Mn 2.72-2.79, 4 W 2.79-2.89
W 0.3333 0.6667 0.5654 x1  12 Mn 2.75-2.77, 4 W 2.89-2.90
W 0.3333 0.6667 0.9384 x1  12 Mn 2.73-2.76, 1 W 2.89, 3 Os 2.89
W 0.6667 0.3333 0.4305 x1  12 Mn 2.73-2.80, 1 Os 2.79, 3 W 2.90

ΔH_f (0 K) ... -0.095 eV/atom
DOS(E_F) ... 10.06 states/eV/cell

***

[2]
Mn5OsW | GGA-PBE | optimized geometry

abc: 7.7090 4.6074 9.8019
angles: 90.00 90.00 90.00
Last column: nearest neighbours and their distance in Å.
Space group Pnma (No. 62)
Inequivalent atoms, fractional coordinates:
Mn 0.0495 0.2500 0.0832 x4  1 Os 2.39, 4 Mn 2.48-2.57
Mn 0.0717 0.5084 0.3108 x8  6 Mn 2.23-2.43
Mn 0.0907 0.7500 0.5237 x4  5 Mn 2.35-2.37
Mn 0.1926 0.7500 0.7501 x4  6 Mn 2.25-2.48
Os 0.1352 0.2500 0.8492 x4  7 Mn 2.39-2.55
W 0.2470 0.7500 0.0640 x4  6 Mn 2.65-2.79, 1 Os 2.94

ΔH_f (0 K) ... 0.064 eV/atom
DOS(E_F) ... 25.17 states/eV/cell

***

[3]
MnOs2W | GGA-PBE | optimized geometry

abc: 3.8252 3.8252 17.4197
angles: 90.00 90.00 90.00
Last column: nearest neighbours and their distance in Å.
Space group I-42d (No. 122)
Inequivalent atoms, fractional coordinates:
Mn 0.0000 0.0000 0.0000 x4  4 Os 2.51, 4 W 2.70
Os 0.2097 0.2500 0.1250 x8  2 Os 2.50, 2 Mn 2.51, 2 W 2.62
W 0.0000 0.0000 0.5000 x4  4 Os 2.62, 4 Mn 2.70

ΔH_f (0 K) ... 0.818 eV/atom
DOS(E_F) ... 19.15 states/eV/cell